Record 1
Material: Th4Cu3Pt
Method: DFT, GGA-PBE
State: optimized geometry

Lattice parameters (Å, degrees): 3.838 4.297 11.379 90.00 90.00 90.00
Space group Pmm2 (No. 25)
Asymmetric unit:
Th 0.000 0.000 0.000
Th 0.000 0.500 0.292
Th 0.500 0.000 0.497
Th 0.500 0.500 0.793
Cu 0.000 0.500 0.569
Cu 0.500 0.000 0.210
Cu 0.500 0.500 0.081
Pt 0.000 0.000 0.715

Properties
E_form ... -386.8 meV/atom
E ... -6.388 eV per atom

Record 2
Material: Th3Cu2Pt4
Method: DFT, GGA-PBE
State: optimized geometry

Lattice parameters (Å, degrees): 12.020 4.098 8.643 90.00 116.28 90.00
Space group C2/m (No. 12)
Asymmetric unit:
Th 0.000 0.000 0.000
Th 0.143 0.500 0.691
Cu 0.188 0.500 0.367
Pt 0.062 0.000 0.387
Pt 0.194 0.500 0.064

Properties
E_form ... -917.3 meV/atom
E ... -6.986 eV per atom

Record 3
Material: ThCu2Pt3
Method: DFT, GGA-PBE
State: optimized geometry

Lattice parameters (Å, degrees): 9.435 9.821 5.167 90.00 90.00 90.00
Space group Cmcm (No. 63)
Asymmetric unit:
Th 0.000 0.174 0.250
Cu 0.136 0.500 0.000
Pt 0.000 0.319 0.750
Pt 0.151 0.086 0.750

Properties
E_form ... -418.2 meV/atom
E ... -6.041 eV per atom

Record 4
Material: ThCu2Pt4
Method: DFT, GGA-PBE
State: optimized geometry

Lattice parameters (Å, degrees): 8.525 6.812 5.231 90.00 127.64 90.00
Space group C2/m (No. 12)
Asymmetric unit:
Th 0.000 0.000 0.000
Cu 0.001 0.500 0.750
Pt 0.202 0.201 0.702

Properties
Distance to the lowest polymorph of the same formula ... 0.000 eV per atom
E_form ... -604.6 meV/atom
E ... -6.287 eV per atom